CsH3Au (PBE, relaxed); space group = Pm-3m, No. 221; electronic total energy = -1.487 eV/atom; magnetization = 0.2 μB/f.u.; polymorph energy (0 for the lowest one) = 1505 meV/atom; density of states at the Fermi level = 1.73 states/eV/cell
1.0
4.532 0.000 0.000
0.000 4.532 0.000
0.000 0.000 4.532
Cs H Au
1 3 1
Direct
0.000 0.000 0.000
0.000 0.500 0.000
0.000 0.000 0.500
0.500 0.000 0.000
0.500 0.500 0.500

CsH2Au2 (PBE, relaxed); space group = C2/m, No. 12; electronic total energy = -2.924 eV/atom; magnetization = 0.0 μB/f.u.; polymorph energy (0 for the lowest one) = 0 meV/atom; density of states at the Fermi level = 0.31 states/eV/cell
1.0
4.774 -1.500 2.223
0.228 3.217 1.681
0.254 0.622 6.620
Cs H Au
1 2 2
Direct
0.000 0.000 0.000
0.330 0.659 0.340
0.670 0.341 0.660
0.328 0.156 0.343
0.672 0.844 0.657

CsH3Au (PBE, relaxed); space group = P2_1/m, No. 11; electronic total energy = -2.940 eV/atom; magnetization = 0.0 μB/f.u.; polymorph energy (0 for the lowest one) = 52 meV/atom; density of states at the Fermi level = 3.66 states/eV/cell
1.0
3.861 0.000 0.000
0.000 7.393 0.402
0.000 0.516 6.970
Cs H Au
2 6 2
Direct
0.624 0.750 0.250
0.124 0.250 0.750
0.624 0.750 0.750
0.624 0.140 0.058
0.124 0.639 0.558
0.124 0.250 0.250
0.124 0.860 0.942
0.624 0.361 0.442
0.624 0.250 0.250
0.124 0.750 0.750

Cs2H5Au2 (PBE, relaxed); space group = Imma, No. 74; electronic total energy = -2.862 eV/atom; magnetization = 0.0 μB/f.u.; density of states at the Fermi level = 2.75 states/eV/cell
1.0
5.458 0.000 -0.001
0.000 5.566 0.000
-2.730 -2.783 10.562
Cs H Au
4 10 4
Direct
0.119 0.633 0.247
0.881 0.386 0.753
0.628 0.133 0.247
0.372 0.886 0.753
0.250 0.760 0.001
0.750 0.760 0.999
0.250 0.260 0.001
0.750 0.259 0.999
0.177 0.181 0.343
0.823 0.838 0.657
0.666 0.681 0.343
0.334 0.338 0.657
0.000 0.510 0.500
0.000 0.010 0.500
0.000 0.010 0.000
0.500 0.510 0.000
0.232 0.260 0.500
0.768 0.760 0.500

CsH3Au (PBE, relaxed); space group = Pm, No. 6; electronic total energy = -2.992 eV/atom; magnetization = 0.0 μB/f.u.; polymorph energy (0 for the lowest one) = 0 meV/atom; density of states at the Fermi level = 3.05 states/eV/cell
1.0
3.816 -0.001 -0.529
0.000 6.665 -0.003
0.918 -0.008 6.606
Cs H Au
2 6 2
Direct
0.513 0.656 0.943
0.513 0.156 0.442
0.512 0.656 0.443
0.013 0.333 0.120
0.012 0.479 0.621
0.014 0.978 0.764
0.514 0.155 0.942
0.013 0.833 0.266
0.014 0.155 0.942
0.012 0.656 0.443

Cs2HAu4 (PBE, relaxed); space group = I4/mmm, No. 139; electronic total energy = -2.660 eV/atom; magnetization = 0.0 μB/f.u.; density of states at the Fermi level = 2.22 states/eV/cell
1.0
-1.746 -3.049 1.837
3.535 -1.245 1.294
-0.426 4.825 11.881
Cs H Au
2 1 4
Direct
0.627 0.627 0.746
0.373 0.373 0.254
0.000 0.000 0.000
0.757 0.757 0.485
0.243 0.243 0.515
0.000 0.500 0.000
0.500 0.000 0.000

What did the second record say?
CsH2Au2 (PBE, relaxed); space group = C2/m, No. 12; electronic total energy = -2.924 eV/atom; magnetization = 0.0 μB/f.u.; polymorph energy (0 for the lowest one) = 0 meV/atom; density of states at the Fermi level = 0.31 states/eV/cell
1.0
4.774 -1.500 2.223
0.228 3.217 1.681
0.254 0.622 6.620
Cs H Au
1 2 2
Direct
0.000 0.000 0.000
0.330 0.659 0.340
0.670 0.341 0.660
0.328 0.156 0.343
0.672 0.844 0.657